[1]
Cu3GeO4 | GGA-PBE | relaxed

Properties
Fermi-level density of states   0.57 states/eV per atom
Symmetry   Pmn2_1 (31)
Size of the total moment   1.02 μB per formula unit
Formation energy from raw total energies   -0.82 eV per atom

```
Cu3GeO4
1.0
6.4809 0.0000 0.0000
0.0000 5.5309 0.0000
0.0000 0.0000 5.3509
Cu Ge O
6 2 8
Direct
0.0000 0.2328 0.0000 Cu
0.2185 0.6324 0.0123 Cu
0.2815 0.3676 0.5123 Cu
0.5000 0.7672 0.5000 Cu
0.7185 0.3676 0.5123 Cu
0.7815 0.6324 0.0123 Cu
0.0000 0.8771 0.4563 Ge
0.5000 0.1229 0.9563 Ge
0.0000 0.1811 0.5618 O
0.0000 0.8652 0.1155 O
0.2142 0.7091 0.5746 O
0.2858 0.2909 0.0746 O
0.5000 0.1348 0.6155 O
0.5000 0.8189 0.0618 O
0.7142 0.2909 0.0746 O
0.7858 0.7091 0.5746 O
```

---

[2]
Sc3Ga4Hg2 | GGA-PBE | relaxed

Properties
Fermi-level density of states   0.70 states/eV per atom
Symmetry   C2/m (12)
Size of the total moment   0.00 μB per formula unit
Energy of formation   -4.0 eV per formula unit

```
Sc3Ga4Hg2
1.0
5.1513 -2.2599 0.0000
5.1513 2.2599 0.0000
-3.8521 0.0000 7.4779
Sc Ga Hg
3 4 2
Direct
0.0000 0.0000 0.0000 Sc
0.3367 0.3367 0.3297 Sc
0.6633 0.6633 0.6703 Sc
0.0393 0.0393 0.3777 Ga
0.2567 0.2567 0.9337 Ga
0.7433 0.7433 0.0663 Ga
0.9607 0.9607 0.6223 Ga
0.3809 0.3809 0.7184 Hg
0.6191 0.6191 0.2816 Hg
```